1.
Density functional theory data (GGA-PBEsol) for a geometry-optimized Ta2WSe structure.

Summary:
The magnetic moment comes out at 0.000 μB per formula unit. The value obtained for the total energy is -10.4777 eV per atom. The value obtained for the density of states at the Fermi level is 0.553 states/eV per atom. The symmetry is Pmm2 (25). As for the formation energy from raw total energies: 0.212 eV per atom.

Structure (POSCAR):
```
Ta2WSe
1.0
3.050 0.000 0.000
0.000 4.242 0.000
0.000 0.000 5.229
W Ta Se
1 2 1
Cartesian
0.000 0.000 2.533
0.000 0.000 5.185
1.525 2.121 1.376
1.525 2.121 3.979
```

2.
Density functional theory data (GGA-PBEsol) for a geometry-optimized YTa2Se2 structure.

Summary:
The magnetic moment comes out at 0.000 μB per formula unit. The value obtained for the total energy is -8.4532 eV per atom. The value obtained for the density of states at the Fermi level is 0.575 states/eV per atom. The symmetry is I4/mmm (139). As for the formation energy from raw total energies: -0.528 eV per atom.

Structure (POSCAR):
```
YTa2Se2
1.0
3.848 0.000 0.000
0.000 3.848 0.000
-1.924 -1.924 6.750
Y Ta Se
1 2 2
Cartesian
0.000 0.000 0.000
0.000 1.924 3.375
1.924 0.000 3.375
1.924 1.924 1.505
0.000 0.000 5.245
```

3.
Density functional theory data (GGA-PBEsol) for a geometry-optimized YTaSe2 structure.

Summary:
The magnetic moment comes out at 0.001 μB per formula unit. The value obtained for the total energy is -7.3938 eV per atom. The value obtained for the density of states at the Fermi level is 0.626 states/eV per atom. The symmetry is R-3m (166). As for the formation energy from raw total energies: -0.625 eV per atom.

Structure (POSCAR):
```
YTaSe2
1.0
3.429 0.000 0.000
1.714 2.970 0.000
1.714 0.990 9.045
Se Y Ta
2 1 1
Cartesian
5.143 2.970 2.828
1.714 0.990 6.217
0.000 0.000 0.000
3.429 1.980 4.523
```

4.
Density functional theory data (GGA-PBEsol) for a geometry-optimized Y2TaSe structure.

Summary:
The magnetic moment comes out at 0.000 μB per formula unit. The value obtained for the total energy is -7.9605 eV per atom. The value obtained for the density of states at the Fermi level is 1.023 states/eV per atom. The symmetry is R-3m (166). As for the formation energy from raw total energies: -0.449 eV per atom.

Structure (POSCAR):
```
Y2TaSe
1.0
-0.624 1.590 3.063
-2.989 -0.626 1.724
2.638 -6.341 5.836
Se Y Ta
1 2 1
Cartesian
-0.488 -2.689 5.312
-0.144 -1.517 2.766
-0.831 -3.861 7.858
0.000 0.000 0.000
```